Version one
Compound: TlInH2
Source: the Alexandria database
Functional: GGA-PBE
Structure: relaxed

Cell lengths 5.3016, 5.3734, 6.4924 Å; angles 67.75, 89.51, 61.22 degrees
With the nearest neighbours (Å) after each atom.
Positions (direct):
Tl 0.0000 0.0000 0.0000  2 H 2.63-2.88
Tl 0.4018 0.2068 0.2314  2 H 2.51-2.68
In 0.1453 0.6997 0.5720  1 H 1.96
In 0.6099 0.7676 0.7849  2 H 1.89-2.08
H 0.3699 0.2558 0.6283  2 In 1.96-2.08
H 0.6089 0.8255 0.0550  1 In 1.89, 1 H 1.98
H 0.7597 0.4867 0.3691  1 H 0.76
H 0.8275 0.3401 0.4817  1 H 0.76

Properties
As for the space group: P1, No. 1.


Version two
Compound: TlInH2
Source: the Alexandria database
Functional: GGA-PBE
Structure: relaxed

Cell lengths 3.2699, 6.2467, 8.3522 Å; angles 73.15, 81.99, 76.31 degrees
With the nearest neighbours (Å) after each atom.
Positions (direct):
Tl 0.2444 0.1161 0.3204  3 H 2.89-3.14, 2 In 3.20-3.21
Tl 0.7556 0.8839 0.6796  3 H 2.89-3.14, 2 In 3.20-3.21
In 0.0000 0.0000 0.0000  4 In 3.16-3.27, 4 Tl 3.21-3.50, 2 H 3.52
In 0.5000 0.5000 0.0000  4 In 3.16-3.27, 2 Tl 3.20, 2 H 3.28
H 0.2346 0.4423 0.6525  1 H 0.76
H 0.2751 0.3611 0.5967  1 H 0.76
H 0.7249 0.6389 0.4033  1 H 0.76
H 0.7654 0.5577 0.3475  1 H 0.76

Properties
As for the space group: P-1, No. 2.


Which one sits at the bottom of the stability order? version one does.